1.
Material: ZrSiMo
Method: DFT, PBE
State: relaxed

POSCAR file:
```
ZrSiMo
1.0
6.544 -0.020 0.016
5.702 2.814 0.011
0.842 -0.587 2.773
Mo Si Zr
1 1 1
Cartesian
12.073 2.744 0.068 Mo
4.750 0.572 1.832 Si
8.509 1.687 0.926 Zr
```

## Properties
Formation energy from raw total energies ... -0.18 eV/atom
Electronic total energy ... -8.45 eV/atom
Space group ... Fmm2

=====

2.
Material: ZrSiMo
Method: DFT, PBE
State: relaxed

POSCAR file:
```
ZrSiMo
1.0
-0.344 -3.229 1.234
6.935 -1.365 -1.636
1.132 1.299 3.715
Mo Si Zr
2 2 2
Cartesian
3.981 -0.022 1.052 Mo
3.348 -2.307 -0.213 Mo
1.681 -0.331 -0.397 Si
5.648 -1.999 1.235 Si
5.933 -1.167 -1.400 Zr
1.396 -1.162 2.238 Zr
```

## Properties
Formation energy from raw total energies ... -0.66 eV/atom
Electronic total energy ... -8.92 eV/atom
Space group ... Pmmn

=====

3.
Material: ZrSi2Mo
Method: DFT, PBE
State: relaxed

POSCAR file:
```
ZrSi2Mo
1.0
4.715 0.007 0.001
-1.122 4.579 0.001
0.492 0.628 3.022
Mo Si Zr
1 2 1
Cartesian
-0.315 2.603 1.511 Mo
0.000 0.000 0.000 Si
1.796 2.293 0.001 Si
2.603 0.317 1.511 Zr
```

## Properties
Formation energy from raw total energies ... -0.25 eV/atom
Electronic total energy ... -7.81 eV/atom
Energy above the most stable polymorph in this dataset ... 0.2532 eV per atom
Space group ... C2/m

=====

4.
Material: ZrSiMo3
Method: DFT, PBE
State: relaxed

POSCAR file:
```
ZrSiMo3
1.0
-4.032 -2.579 -0.075
1.838 -2.774 -3.441
1.811 -2.927 3.327
Mo Si Zr
3 1 1
Cartesian
0.919 -1.387 -1.721 Mo
0.905 -1.464 1.663 Mo
-2.016 -1.289 -0.037 Mo
-0.192 -4.140 -0.095 Si
0.000 0.000 0.000 Zr
```

## Properties
Formation energy from raw total energies ... 2.23 eV/atom
Electronic total energy ... -7.06 eV/atom
Energy above the most stable polymorph in this dataset ... 1.6234 eV per atom
Space group ... Pm-3m

=====

5.
Material: ZrSi2Mo2
Method: DFT, PBE
State: relaxed

POSCAR file:
```
ZrSi2Mo2
1.0
-2.437 -4.426 -4.783
0.825 -5.275 4.461
-3.031 0.467 1.113
Mo Si Zr
4 4 2
Cartesian
-1.356 -3.929 2.736 Mo
-2.422 -7.122 1.172 Mo
-3.287 -5.305 -1.946 Mo
-2.222 -2.113 -0.382 Mo
-0.182 -6.215 2.111 Si
-1.596 -7.175 -1.339 Si
-1.430 -3.487 -2.434 Si
-0.016 -2.526 1.017 Si
0.000 0.000 0.000 Zr
-0.806 -4.851 -0.161 Zr
```

## Properties
Formation energy from raw total energies ... -0.44 eV/atom
Electronic total energy ... -8.65 eV/atom
Energy above the most stable polymorph in this dataset ... 0.0000 eV per atom
Space group ... P4/mbm

=====

6.
Material: ZrSi2Mo
Method: DFT, PBE
State: relaxed

POSCAR file:
```
ZrSi2Mo
1.0
4.838 -0.001 -0.003
1.110 4.709 0.003
-2.441 -3.026 2.878
Mo Si Zr
1 2 1
Cartesian
2.685 -0.337 1.438 Mo
5.897 4.668 0.000 Si
3.024 2.394 0.000 Si
0.821 2.018 1.441 Zr
```

## Properties
Formation energy from raw total energies ... -0.29 eV/atom
Electronic total energy ... -7.84 eV/atom
Energy above the most stable polymorph in this dataset ... 0.2166 eV per atom
Space group ... Immm

=====

7.
Material: Zr3SiMo
Method: DFT, PBE
State: relaxed

POSCAR file:
```
Zr3SiMo
1.0
-3.958 0.799 -2.924
2.600 -1.576 -3.951
-1.557 -4.662 0.834
Mo Si Zr
1 1 3
Cartesian
0.000 0.000 0.000 Mo
-1.458 -2.719 -3.020 Si
1.300 -0.788 -1.975 Zr
-0.779 -2.331 0.417 Zr
-1.979 0.400 -1.462 Zr
```

## Properties
Formation energy from raw total energies ... 0.82 eV/atom
Electronic total energy ... -7.56 eV/atom
Energy above the most stable polymorph in this dataset ... 0.2166 eV per atom
Space group ... Pm-3m

=====

8.
Material: ZrSi2Mo2
Method: DFT, PBE
State: relaxed

POSCAR file:
```
ZrSi2Mo2
1.0
-1.234 1.593 4.127
-0.665 -4.302 1.462
3.031 -1.542 4.056
Mo Si Zr
2 2 1
Cartesian
0.154 -1.407 3.144 Mo
0.978 -2.845 6.501 Mo
0.424 -0.652 5.489 Si
0.708 -3.600 4.156 Si
0.000 0.000 0.000 Zr
```

## Properties
Formation energy from raw total energies ... -0.02 eV/atom
Electronic total energy ... -8.23 eV/atom
Energy above the most stable polymorph in this dataset ... 0.4224 eV per atom
Space group ... I4/mmm